[1]
A plane-wave DFT calculation with PBE-GGA was carried out for a relaxed Dy2TmPb crystal.

Summary:
SG: P4/mmm (123)
N(E_F): 3.58 states/eV/cell
E above lowest polymorph: 5.7 kJ per mole of atoms
theoretical density: 9.70 g cm⁻³
VASP energy: -4.55 eV/atom
spin magnetization: 0.0 μB/f.u.

POSCAR file:
```
Dy2TmPb
1.0
-3.399 -0.553 -1.073
0.617 -3.552 -0.122
-2.655 -0.764 8.803
Dy Pb Tm
2 1 1
direct
0.000 0.000 0.762
0.000 0.000 0.238
0.500 0.500 0.000
0.500 0.500 0.500
```

[2]
A plane-wave DFT calculation with PBE-GGA was carried out for a relaxed ZrTi5Ga8 crystal.

Summary:
SG: I-4 (82)
N(E_F): 7.32 states/eV/cell
theoretical density: 6.14 g cm⁻³
VASP energy: -5.47 eV/atom
spin magnetization: 0.0 μB/f.u.

POSCAR file:
```
ZrTi5Ga8
1.0
6.788 -0.077 0.132
-2.369 6.361 -0.132
-2.050 -3.254 5.595
Ga Zr Ti
8 1 5
direct
0.518 0.596 0.240
0.644 0.404 0.922
0.596 0.956 0.885
0.929 0.044 0.640
0.115 0.711 0.071
0.078 0.723 0.482
0.760 0.277 0.356
0.360 0.289 0.404
0.250 0.500 0.750
0.275 0.064 0.962
0.898 0.936 0.211
0.500 0.000 0.500
0.038 0.313 0.102
0.789 0.687 0.725
```

[3]
A plane-wave DFT calculation with PBE-GGA was carried out for a relaxed NaCrAu2 crystal.

Summary:
SG: I-42d (122)
N(E_F): 2.68 states/eV/cell
theoretical density: 9.50 g cm⁻³
VASP energy: -3.99 eV/atom
spin magnetization: 4.7 μB/f.u.

POSCAR file:
```
NaCrAu2
1.0
4.118 0.000 0.000
0.000 4.118 0.000
2.059 2.059 9.668
Au Na Cr
4 2 2
direct
0.116 0.625 0.250
0.634 0.125 0.250
0.375 0.366 0.750
0.875 0.884 0.750
0.250 0.750 0.500
0.500 0.500 0.000
0.750 0.250 0.500
0.000 0.000 0.000
```

[4]
A plane-wave DFT calculation with PBE-GGA was carried out for a relaxed TbY4Er2Sc crystal.

Summary:
SG: P4/mmm (123)
N(E_F): 12.64 states/eV/cell
theoretical density: 6.04 g cm⁻³
VASP energy: -5.71 eV/atom
spin magnetization: 0.0 μB/f.u.

POSCAR file:
```
TbY4Er2Sc
1.0
-2.595 0.102 4.240
-3.495 -2.870 -2.070
1.316 -10.989 1.069
Y Er Tb Sc
4 2 1 1
direct
0.500 0.745 0.255
0.000 0.755 0.745
0.500 0.255 0.745
0.000 0.245 0.255
0.000 0.000 0.000
0.500 0.000 0.500
0.500 0.500 0.000
0.000 0.500 0.500
```

[5]
A plane-wave DFT calculation with PBE-GGA was carried out for a relaxed La2MgCd2Pd5 crystal.

Summary:
SG: P4/mbm (127)
N(E_F): 12.84 states/eV/cell
theoretical density: 8.38 g cm⁻³
VASP energy: -4.43 eV/atom
spin magnetization: 0.0 μB/f.u.

POSCAR file:
```
La2MgCd2Pd5
1.0
-1.579 3.342 0.116
-7.031 -3.065 -7.392
-6.584 -3.377 7.663
Cd Pd La Mg
4 10 4 2
direct
0.000 0.131 0.631
0.000 0.369 0.131
0.000 0.631 0.869
0.000 0.869 0.369
0.500 0.697 0.465
0.500 0.535 0.697
0.500 0.965 0.197
0.500 0.303 0.535
0.500 0.500 0.000
0.500 0.035 0.803
0.500 0.803 0.965
0.500 0.197 0.035
0.500 0.000 0.500
0.500 0.465 0.303
0.000 0.669 0.169
0.000 0.331 0.831
0.000 0.831 0.669
0.000 0.169 0.331
0.000 0.500 0.500
0.000 0.000 0.000
```

[6]
A plane-wave DFT calculation with PBE-GGA was carried out for a relaxed SrCu4HgP2 crystal.

Summary:
SG: P4/mmm (123)
N(E_F): 1.98 states/eV/cell
theoretical density: 6.72 g cm⁻³
VASP energy: -3.91 eV/atom
spin magnetization: 0.0 μB/f.u.

POSCAR file:
```
SrCu4HgP2
1.0
4.033 0.000 0.000
0.000 4.033 0.000
0.000 0.000 9.176
Cu Sr P Hg
4 1 2 1
direct
0.500 0.000 0.206
0.000 0.500 0.794
0.500 0.000 0.794
0.000 0.500 0.206
0.000 0.000 0.500
0.500 0.500 0.683
0.500 0.500 0.317
0.000 0.000 0.000
```